# 1
Compound: ZrInNi2
Source: Alexandria via LeMat-Bulk
Functional: GGA-PBE
Structure: relaxed

Output
crystal system = trigonal
energy of formation from the pure elements = -0.01 eV/atom
size of the total moment = 0.00 μB/f.u.

Geometry as CIF:
```
data_ZrInNi2
_symmetry_space_group_name_H-M 'P 1'
_symmetry_Int_Tables_number 1
_cell_length_a 7.4297
_cell_length_b 7.4297
_cell_length_c 7.4297
_cell_angle_alpha 26.37
_cell_angle_beta 26.37
_cell_angle_gamma 26.37
loop_
_symmetry_equiv_pos_as_xyz
'x,y,z'
loop_
_atom_site_label
_atom_site_fract_x
_atom_site_fract_y
_atom_site_fract_z
In1 0.7500 0.7500 0.7500
Ni1 0.9975 0.9975 0.9975
Ni2 0.5025 0.5025 0.5025
Zr1 0.2500 0.2500 0.2500
```

---

# 2
Compound: LaCe2Pu
Source: Alexandria via LeMat-Bulk
Functional: GGA-PBE
Structure: relaxed

Output
crystal system = trigonal
energy of formation from the pure elements = 0.13 eV/atom
size of the total moment = 6.50 μB/f.u.

Geometry as CIF:
```
data_LaCe2Pu
_symmetry_space_group_name_H-M 'P 1'
_symmetry_Int_Tables_number 1
_cell_length_a 3.4801
_cell_length_b 3.4801
_cell_length_c 11.2321
_cell_angle_alpha 81.09
_cell_angle_beta 81.09
_cell_angle_gamma 60.00
loop_
_symmetry_equiv_pos_as_xyz
'x,y,z'
loop_
_atom_site_label
_atom_site_fract_x
_atom_site_fract_y
_atom_site_fract_z
La1 0.6687 0.6687 0.9938
Ce1 0.0896 0.0896 0.7311
Ce2 0.2433 0.2433 0.2700
Pu1 0.4983 0.4983 0.5051
```

---

Q: energy of formation from the pure elements of number 1 (ZrInNi2)?
A: -0.01 eV/atom

---

Q: energy of formation from the pure elements of number 1 (ZrInNi2)?
A: -0.01 eV/atom

---

Q: energy of formation from the pure elements of number 2 (LaCe2Pu)?
A: 0.13 eV/atom